1.
Entry from Alexandria via LeMat-Bulk: crystalline PaTlPd2 at its relaxed geometry (PBE-GGA).

a b c (Å): 4.8832 4.8832 4.8832
angles (deg): 60.00 60.00 60.00
Atoms (fractional coordinates):
Pa 0.0000 0.0000 0.0000
Pd 0.2500 0.2500 0.2500
Tl 0.5000 0.5000 0.5000
Pd 0.7500 0.7500 0.7500

Calculated values
**Symmetry**: Fm-3m, No. 225
**Total energy**: -5.95 eV/atom
**ρ**: 13.07 g/cm3
**Crystal system**: cubic
**D(E_F)**: 1.48 states/eV/atom


2.
Entry from Alexandria via LeMat-Bulk: crystalline TaAlH at its relaxed geometry (PBE-GGA).

a b c (Å): 4.5656 2.9976 7.7923
angles (deg): 90.05 70.46 49.11
Atoms (fractional coordinates):
Al 0.6465 0.6034 0.1033
H 0.7281 0.5217 0.5223
Ta 0.9163 0.8335 0.3335
Al 0.3535 0.3966 0.8967
H 0.2719 0.4783 0.4777
Ta 0.0837 0.1665 0.6665

Calculated values
**Symmetry**: P2/c, No. 13
**Total energy**: -6.46 eV/atom
**ρ**: 9.60 g/cm3
**Crystal system**: monoclinic
**D(E_F)**: 0.41 states/eV/atom


3.
Entry from Alexandria via LeMat-Bulk: crystalline Tl12Te3Se5 at its relaxed geometry (PBE-GGA).

a b c (Å): 15.9681 15.9681 15.9681
angles (deg): 109.47 109.47 109.47
Atoms (fractional coordinates):
Tl 0.0895 0.1700 0.4514
Tl 0.6380 0.5895 0.9194
Se 0.6250 0.7500 0.8750
Te 0.2500 0.1250 0.3750
Se 0.2500 0.8750 0.1250
Tl 0.9105 0.0806 0.8620
Tl 0.2186 0.5486 0.6380
Se 0.5000 0.0000 0.5000
Tl 0.8620 0.5806 0.9105
Tl 0.3620 0.4105 0.0806
Se 0.7500 0.6250 0.3750
Tl 0.4514 0.6700 0.0895
Se 0.6250 0.8750 0.2500
Tl 0.2814 0.8620 0.9514
Se 0.0000 0.0000 0.5000
Te 0.3750 0.7500 0.6250
Tl 0.8300 0.9194 0.2814
Se 0.1250 0.3750 0.2500
Tl 0.5806 0.7186 0.6700
Tl 0.7814 0.3300 0.9194
Tl 0.5486 0.2186 0.1380
Tl 0.0806 0.9105 0.3620
Tl 0.9194 0.8300 0.7814
Se 0.0000 0.5000 0.0000
Tl 0.5806 0.8620 0.4105
Se 0.1250 0.7500 0.3750
Tl 0.2814 0.4194 0.8300
Tl 0.0806 0.1700 0.2186
Tl 0.1380 0.4194 0.0895
Te 0.7500 0.3750 0.1250
Tl 0.9514 0.5895 0.1700
Tl 0.3620 0.9514 0.7814
Tl 0.5895 0.6380 0.4194
Te 0.8750 0.7500 0.1250
Tl 0.8300 0.9105 0.0486
Tl 0.8620 0.2814 0.4514
Te 0.8750 0.1250 0.2500
Tl 0.5895 0.9514 0.6700
Tl 0.4194 0.1380 0.5895
Tl 0.1700 0.0806 0.7186
Se 0.2500 0.3750 0.6250
Se 0.3750 0.2500 0.1250
Te 0.6250 0.2500 0.3750
Tl 0.7186 0.1380 0.0486
Tl 0.0486 0.6380 0.7186
Se 0.5000 0.0000 0.0000
Se 0.7500 0.1250 0.8750
Tl 0.4105 0.0486 0.3300
Te 0.1250 0.2500 0.8750
Tl 0.4514 0.7814 0.8620
Tl 0.7814 0.4514 0.3620
Tl 0.0895 0.9194 0.1380
Tl 0.5486 0.3300 0.9105
Tl 0.9514 0.3620 0.2814
Tl 0.7186 0.5806 0.1700
Se 0.3750 0.1250 0.7500
Te 0.3750 0.6250 0.2500
Se 0.0000 0.0000 0.0000
Te 0.1250 0.8750 0.7500
Tl 0.6380 0.0486 0.2186
Tl 0.6700 0.4514 0.5895
Se 0.8750 0.2500 0.6250
Tl 0.0486 0.4105 0.8300
Se 0.8750 0.6250 0.7500
Te 0.6250 0.3750 0.7500
Tl 0.4105 0.3620 0.5806
Tl 0.9194 0.0895 0.6380
Tl 0.3300 0.7814 0.4194
Te 0.2500 0.6250 0.8750
Se 0.0000 0.5000 0.5000
Te 0.7500 0.8750 0.6250
Tl 0.9105 0.8300 0.5486
Tl 0.3300 0.5486 0.4105
Se 0.5000 0.5000 0.5000
Tl 0.4194 0.2814 0.3300
Se 0.5000 0.5000 0.0000
Tl 0.2186 0.6700 0.0806
Tl 0.1380 0.7186 0.5486
Tl 0.1700 0.0895 0.9514
Tl 0.6700 0.2186 0.5806

Calculated values
**Symmetry**: Ia-3d, No. 230
**Total energy**: -3.00 eV/atom
**ρ**: 6.85 g/cm3
**ΔE_f (raw)**: -0.24 eV per atom
**Crystal system**: cubic
**D(E_F)**: 0.37 states/eV/atom